# 1
This record from the Alexandria database describes a geometry-optimized CsMg3Ir structure. The functional is GGA-PBE.

a b c (Å): 5.2528 5.2528 5.2528
angles (deg): 90.00 90.00 90.00
Fractional positions:
Cs1 0.5000 0.5000 0.5000
Mg1 0.0000 0.5000 0.0000
Mg2 0.0000 0.0000 0.5000
Mg3 0.5000 0.0000 0.0000
Ir1 0.0000 0.0000 0.0000

Results
Space group: No. 221
E, eV/cell: -14.33
ΔH_f (0 K), eV/atom: 0.03

# 2
This record from the Alexandria database describes a geometry-optimized ScTl2Se structure. The functional is GGA-PBE.

a b c (Å): 6.4307 6.4307 4.2493
angles (deg): 71.78 71.78 125.68
Fractional positions:
Sc1 0.5000 0.0000 0.5000
Se1 0.0000 0.5000 0.5000
Tl1 0.0000 0.0000 0.0000
Tl2 0.5000 0.5000 0.0000

Results
Space group: No. 12
Formation energy without anion corrections, eV/atom: -0.3787
E, eV/cell: -16.06

# 3
This record from the Alexandria database describes a geometry-optimized Mg2Si structure. The functional is GGA-PBE.

a b c (Å): 5.3985 6.1549 7.8671
angles (deg): 85.54 69.64 79.08
Fractional positions:
Mg1 0.8844 0.9636 0.1749
Mg2 0.8179 0.8255 0.7943
Mg3 0.3341 0.6191 0.8391
Mg4 0.6377 0.2153 0.5672
Mg5 0.9346 0.4638 0.1971
Mg6 0.2098 0.5633 0.4657
Mg7 0.2516 0.0502 0.4228
Mg8 0.9545 0.2903 0.8165
Si1 0.6680 0.7178 0.5061
Si2 0.4997 0.3566 0.1433
Si3 0.4353 0.7797 0.1247
Si4 0.3725 0.1549 0.9477

Results
Space group: No. 1
Formation energy without anion corrections, eV/atom: 0.0439
E, eV/cell: -33.92

# 4
This record from the Alexandria database describes a geometry-optimized Si2MoAs structure. The functional is GGA-PBE.

a b c (Å): 4.8588 4.8588 4.8588
angles (deg): 132.53 132.53 69.40
Each line ends with the local moment (μB).
Fractional positions:
As1 0.5000 0.5000 0.0000  0.00
Mo1 0.7500 0.2500 0.5000  0.68
Si1 0.0000 0.0000 0.0000  0.00
Si2 0.2500 0.7500 0.5000  0.00

Results
Space group: No. 119
Formation energy without anion corrections, eV/atom: 0.4092
E, eV/cell: -24.69

# 5
This record from the Alexandria database describes a geometry-optimized RuPtRh4 structure. The functional is GGA-PBE.

a b c (Å): 4.2572 5.1662 5.1662
angles (deg): 97.03 65.67 65.67
Fractional positions:
Ru1 0.5000 0.5000 0.5000
Pt1 0.0000 0.0000 0.0000
Rh1 0.2528 0.4110 0.0834
Rh2 0.2528 0.0834 0.4110
Rh3 0.7472 0.5890 0.9166
Rh4 0.7472 0.9166 0.5890

Results
Space group: No. 71
E, eV/cell: -43.37
ΔH_f (0 K), eV/atom: 0.23

# 6
This record from the Alexandria database describes a geometry-optimized Pu4CuGe structure. The functional is GGA-PBE.

a b c (Å): 3.9762 6.7403 6.7403
angles (deg): 111.71 72.85 72.85
Each line ends with the local moment (μB).
Fractional positions:
Pu1 0.7474 0.6141 0.8910  5.62
Pu2 0.7474 0.8910 0.6141  5.62
Pu3 0.2525 0.3859 0.1090  5.62
Pu4 0.2525 0.1090 0.3859  5.62
Cu1 0.0000 0.0000 0.0000  0.07
Ge1 0.5000 0.5000 0.5000  -0.11

Results
Space group: No. 71
E, eV/cell: -65.59
ΔH_f (0 K), eV/atom: 0.07

# 7
This record from the Alexandria database describes a geometry-optimized YW2Au structure. The functional is GGA-PBE.

a b c (Å): 2.8326 2.8326 9.2598
angles (deg): 90.00 90.00 90.00
Fractional positions:
Au1 0.5000 0.5000 0.7685
W1 0.0000 0.0000 0.9964
W2 0.5000 0.5000 0.2346
Y1 0.0000 0.0000 0.5005

Results
Space group: No. 99
E, eV/cell: -34.17
ΔH_f (0 K), eV/atom: 0.37

# 8
This record from the Alexandria database describes a geometry-optimized BeAlSi2 structure. The functional is GGA-PBE.

a b c (Å): 4.3875 4.3875 4.8717
angles (deg): 78.67 78.67 35.83
Fractional positions:
Be1 0.2500 0.2500 0.2500
Si1 0.9906 0.9906 0.0314
Si2 0.5094 0.5094 0.4686
Al1 0.7500 0.7500 0.7500

Results
Space group: No. 12
Formation energy without anion corrections, eV/atom: 0.3254
E, eV/cell: -17.01